No. 1
# Y2ReAsRh SCAN PBEsol geometry
data_Y2ReAsRh
_cell_length_a 5.212
_cell_length_b 5.212
_cell_length_c 4.425
_cell_angle_alpha 90.00
_cell_angle_beta 90.00
_cell_angle_gamma 90.00
_space_group_name_H-M_alt 'P 1'
_space_group_IT_number 1
_space_group_name_Hall 'P 1'
loop_
_atom_site_label
_atom_site_type_symbol
_atom_site_fract_x
_atom_site_fract_y
_atom_site_fract_z
Y1 Y 0.000 0.500 0.000
Y2 Y 0.500 0.000 0.000
Re1 Re 0.000 0.000 0.500
As1 As 0.000 0.000 0.000
Rh1 Rh 0.500 0.500 0.500
# - DFT total energy: -35.816 eV per atom
# - Energy relative to the elements: 161 kJ/mol of formula units
# - SG: P4/mmm (123)

---

No. 2
# CsHfTe3 SCAN PBEsol geometry
data_CsHfTe3
_cell_length_a 5.890
_cell_length_b 5.890
_cell_length_c 5.890
_cell_angle_alpha 90.00
_cell_angle_beta 90.00
_cell_angle_gamma 90.00
_space_group_name_H-M_alt 'P 1'
_space_group_IT_number 1
_space_group_name_Hall 'P 1'
loop_
_atom_site_label
_atom_site_type_symbol
_atom_site_fract_x
_atom_site_fract_y
_atom_site_fract_z
Cs1 Cs 0.000 0.000 0.000
Hf1 Hf 0.500 0.500 0.500
Te1 Te 0.000 0.000 0.500
Te2 Te 0.000 0.500 0.000
Te3 Te 0.500 0.000 0.000
# - DFT total energy: -40.810 eV per atom
# - SG: Pm-3m (221)
# - Energy relative to the elements, uncorrected: 8.2 eV/f.u.
# - ΔE to the lowest computed polymorph: 2458 meV/atom

---

No. 3
# LiPRuS2 SCAN PBEsol geometry
data_LiPRuS2
_cell_length_a 4.778
_cell_length_b 4.778
_cell_length_c 4.342
_cell_angle_alpha 90.00
_cell_angle_beta 90.00
_cell_angle_gamma 90.00
_space_group_name_H-M_alt 'P 1'
_space_group_IT_number 1
_space_group_name_Hall 'P 1'
loop_
_atom_site_label
_atom_site_type_symbol
_atom_site_fract_x
_atom_site_fract_y
_atom_site_fract_z
Li1 Li 0.000 0.000 0.000
P1 P 0.500 0.500 0.000
Ru1 Ru 0.500 0.500 0.500
S1 S 0.000 0.500 0.500
S2 S 0.500 0.000 0.500
# - DFT total energy: -13.235 eV per atom
# - SG: P4/mmm (123)
# - Energy relative to the elements, uncorrected: 0.7 eV/f.u.

---

No. 4
# CaTcW SCAN PBEsol geometry
data_CaTcW
_cell_length_a 6.211
_cell_length_b 6.211
_cell_length_c 6.211
_cell_angle_alpha 90.00
_cell_angle_beta 90.00
_cell_angle_gamma 90.00
_space_group_name_H-M_alt 'P 1'
_space_group_IT_number 1
_space_group_name_Hall 'P 1'
loop_
_atom_site_label
_atom_site_type_symbol
_atom_site_fract_x
_atom_site_fract_y
_atom_site_fract_z
Ca1 Ca 0.000 0.000 0.000
Ca2 Ca 0.000 0.500 0.500
Ca3 Ca 0.500 0.000 0.500
Ca4 Ca 0.500 0.500 0.000
Tc1 Tc 0.250 0.250 0.750
Tc2 Tc 0.250 0.750 0.250
Tc3 Tc 0.750 0.250 0.250
Tc4 Tc 0.750 0.750 0.750
W1 W 0.000 0.000 0.500
W2 W 0.000 0.500 0.000
W3 W 0.500 0.000 0.000
W4 W 0.500 0.500 0.500
# - DFT total energy: -37.094 eV per atom
# - Energy relative to the elements: 302 kJ/mol of formula units
# - SG: F-43m (216)
# - ΔE to the lowest computed polymorph: 379 meV/atom

---

No. 5
# Sr2Sb2Te SCAN PBEsol geometry
data_Sr2Sb2Te
_cell_length_a 4.282
_cell_length_b 4.282
_cell_length_c 17.702
_cell_angle_alpha 90.00
_cell_angle_beta 90.00
_cell_angle_gamma 90.00
_space_group_name_H-M_alt 'P 1'
_space_group_IT_number 1
_space_group_name_Hall 'P 1'
loop_
_atom_site_label
_atom_site_type_symbol
_atom_site_fract_x
_atom_site_fract_y
_atom_site_fract_z
Sr1 Sr 0.000 0.000 0.102
Sr2 Sr 0.000 0.000 0.898
Sr3 Sr 0.500 0.500 0.398
Sr4 Sr 0.500 0.500 0.602
Sb1 Sb 0.000 0.500 0.250
Sb2 Sb 0.000 0.500 0.750
Sb3 Sb 0.500 0.000 0.250
Sb4 Sb 0.500 0.000 0.750
Te1 Te 0.000 0.000 0.500
Te2 Te 0.500 0.500 0.000
# - DFT total energy: -32.412 eV per atom
# - SG: I4/mmm (139)
# - Energy relative to the elements, uncorrected: -5.7 eV/f.u.

---

No. 6
# YMg3Hg SCAN PBEsol geometry
data_YMg3Hg
_cell_length_a 6.041
_cell_length_b 6.041
_cell_length_c 6.041
_cell_angle_alpha 90.00
_cell_angle_beta 90.00
_cell_angle_gamma 90.00
_space_group_name_H-M_alt 'P 1'
_space_group_IT_number 1
_space_group_name_Hall 'P 1'
loop_
_atom_site_label
_atom_site_type_symbol
_atom_site_fract_x
_atom_site_fract_y
_atom_site_fract_z
Y1 Y 0.000 0.000 0.000
Mg1 Mg 0.000 0.000 0.500
Mg2 Mg 0.000 0.500 0.000
Mg3 Mg 0.500 0.000 0.000
Hg1 Hg 0.500 0.500 0.500
# - DFT total energy: -21.114 eV per atom
# - Energy relative to the elements: 517 kJ/mol of formula units
# - SG: Pm-3m (221)

---

No. 7
# La2BeBr SCAN PBEsol geometry
data_La2BeBr
_cell_length_a 4.937
_cell_length_b 3.567
_cell_length_c 11.432
_cell_angle_alpha 90.00
_cell_angle_beta 90.00
_cell_angle_gamma 90.00
_space_group_name_H-M_alt 'P 1'
_space_group_IT_number 1
_space_group_name_Hall 'P 1'
loop_
_atom_site_label
_atom_site_type_symbol
_atom_site_fract_x
_atom_site_fract_y
_atom_site_fract_z
La1 La 0.000 0.000 0.000
La2 La 0.000 0.500 0.500
La3 La 0.500 0.000 0.249
La4 La 0.500 0.500 0.749
Be1 Be 0.500 0.000 0.502
Be2 Be 0.500 0.500 0.002
Br1 Br 0.000 0.000 0.738
Br2 Br 0.000 0.500 0.238
# - DFT total energy: -28.047 eV per atom
# - SG: Amm2 (38)
# - Energy relative to the elements, uncorrected: -2.2 eV/f.u.
# - ΔE to the lowest computed polymorph: 113 meV/atom

---

No. 8
# TlCuI2O SCAN PBEsol geometry
data_TlCuI2O
_cell_length_a 5.971
_cell_length_b 5.971
_cell_length_c 3.993
_cell_angle_alpha 90.00
_cell_angle_beta 90.00
_cell_angle_gamma 90.00
_space_group_name_H-M_alt 'P 1'
_space_group_IT_number 1
_space_group_name_Hall 'P 1'
loop_
_atom_site_label
_atom_site_type_symbol
_atom_site_fract_x
_atom_site_fract_y
_atom_site_fract_z
Tl1 Tl 0.000 0.000 0.000
Cu1 Cu 0.500 0.500 0.500
I1 I 0.000 0.500 0.000
I2 I 0.500 0.000 0.000
O1 O 0.000 0.000 0.500
# - DFT total energy: -33.097 eV per atom
# - SG: P4/mmm (123)
# - Energy relative to the elements, uncorrected: 1.8 eV/f.u.

---

No. 9
# KSb2As SCAN PBEsol geometry
data_KSb2As
_cell_length_a 3.792
_cell_length_b 4.355
_cell_length_c 6.913
_cell_angle_alpha 90.00
_cell_angle_beta 90.00
_cell_angle_gamma 90.00
_space_group_name_H-M_alt 'P 1'
_space_group_IT_number 1
_space_group_name_Hall 'P 1'
loop_
_atom_site_label
_atom_site_type_symbol
_atom_site_fract_x
_atom_site_fract_y
_atom_site_fract_z
K1 K 0.000 0.000 0.000
Sb1 Sb 0.000 0.000 0.518
Sb2 Sb 0.500 0.500 0.315
As1 As 0.500 0.500 0.691
# - DFT total energy: -25.813 eV per atom
# - SG: Pmm2 (25)
# - Energy relative to the elements, uncorrected: -0.2 eV/f.u.

---

No. 10
# NiOF2 SCAN PBEsol geometry
data_NiOF2
_cell_length_a 6.931
_cell_length_b 6.931
_cell_length_c 3.534
_cell_angle_alpha 90.00
_cell_angle_beta 90.00
_cell_angle_gamma 90.00
_space_group_name_H-M_alt 'P 1'
_space_group_IT_number 1
_space_group_name_Hall 'P 1'
loop_
_atom_site_label
_atom_site_type_symbol
_atom_site_fract_x
_atom_site_fract_y
_atom_site_fract_z
Ni1 Ni 0.000 0.000 0.000
Ni2 Ni 0.000 0.500 0.250
Ni3 Ni 0.500 0.000 0.750
Ni4 Ni 0.500 0.500 0.500
O1 O 0.000 0.000 0.500
O2 O 0.000 0.500 0.750
O3 O 0.500 0.000 0.250
O4 O 0.500 0.500 0.000
F1 F 0.109 0.250 0.125
F2 F 0.250 0.609 0.375
F3 F 0.250 0.891 0.875
F4 F 0.391 0.250 0.625
F5 F 0.609 0.750 0.625
F6 F 0.750 0.109 0.875
F7 F 0.750 0.391 0.375
F8 F 0.891 0.750 0.125
# - DFT total energy: -8.496 eV per atom
# - SG: I-42d (122)
# - Energy relative to the elements, uncorrected: -4.5 eV/f.u.

---

No. 11
# Na3NiAsCO7 SCAN PBEsol geometry
data_Na3NiAsCO7
_cell_length_a 5.157
_cell_length_b 6.700
_cell_length_c 9.005
_cell_angle_alpha 90.00
_cell_angle_beta 91.09
_cell_angle_gamma 90.00
_space_group_name_H-M_alt 'P 1'
_space_group_IT_number 1
_space_group_name_Hall 'P 1'
loop_
_atom_site_label
_atom_site_type_symbol
_atom_site_fract_x
_atom_site_fract_y
_atom_site_fract_z
Na1 Na 0.230 0.250 0.081
Na2 Na 0.252 0.504 0.737
Na3 Na 0.252 0.996 0.737
Na4 Na 0.748 0.004 0.263
Na5 Na 0.748 0.496 0.263
Na6 Na 0.770 0.750 0.919
Ni1 Ni 0.219 0.750 0.339
Ni2 Ni 0.781 0.250 0.661
As1 As 0.293 0.250 0.418
As2 As 0.707 0.750 0.582
C1 C 0.280 0.750 0.060
C2 C 0.720 0.250 0.940
O1 O 0.055 0.750 0.122
O2 O 0.141 0.250 0.584
O3 O 0.218 0.051 0.304
O4 O 0.218 0.449 0.304
O5 O 0.299 0.750 0.918
O6 O 0.377 0.750 0.546
O7 O 0.485 0.750 0.146
O8 O 0.515 0.250 0.854
O9 O 0.623 0.250 0.454
O10 O 0.701 0.250 0.082
O11 O 0.782 0.551 0.696
O12 O 0.782 0.949 0.696
O13 O 0.859 0.750 0.416
O14 O 0.945 0.250 0.878
# - DFT total energy: -9.653 eV per atom
# - SG: P2_1/m (11)
# - Energy relative to the elements, uncorrected: -22.8 eV/f.u.

---

No. 12
# Ba2Zn3As2O2 SCAN PBEsol geometry
data_Ba2Zn3As2O2
_cell_length_a 10.256
_cell_length_b 10.256
_cell_length_c 10.256
_cell_angle_alpha 156.62
_cell_angle_beta 156.62
_cell_angle_gamma 33.31
_space_group_name_H-M_alt 'P 1'
_space_group_IT_number 1
_space_group_name_Hall 'P 1'
loop_
_atom_site_label
_atom_site_type_symbol
_atom_site_fract_x
_atom_site_fract_y
_atom_site_fract_z
Ba1 Ba 0.090 0.090 0.000
Ba2 Ba 0.910 0.910 0.000
Zn1 Zn 0.250 0.750 0.500
Zn2 Zn 0.500 0.500 0.000
Zn3 Zn 0.750 0.250 0.500
As1 As 0.326 0.326 0.000
As2 As 0.674 0.674 0.000
O1 O 0.000 0.500 0.500
O2 O 0.500 0.000 0.500
# - DFT total energy: -20.573 eV per atom
# - SG: I4/mmm (139)
# - Energy relative to the elements, uncorrected: -12.7 eV/f.u.

---

No. 13
# InSbAs SCAN PBEsol geometry
data_InSbAs
_cell_length_a 3.584
_cell_length_b 3.584
_cell_length_c 11.411
_cell_angle_alpha 90.00
_cell_angle_beta 90.00
_cell_angle_gamma 90.00
_space_group_name_H-M_alt 'P 1'
_space_group_IT_number 1
_space_group_name_Hall 'P 1'
loop_
_atom_site_label
_atom_site_type_symbol
_atom_site_fract_x
_atom_site_fract_y
_atom_site_fract_z
In1 In 0.000 0.000 0.000
In2 In 0.500 0.500 0.500
Sb1 Sb 0.000 0.000 0.706
Sb2 Sb 0.500 0.500 0.206
As1 As 0.000 0.000 0.323
As2 As 0.500 0.500 0.823
# - DFT total energy: -30.108 eV per atom
# - SG: I4mm (107)
# - Energy relative to the elements, uncorrected: 0.5 eV/f.u.
# - ΔE to the lowest computed polymorph: 130 meV/atom

---

No. 14
# BaLiN2F SCAN PBEsol geometry
data_BaLiN2F
_cell_length_a 4.802
_cell_length_b 4.802
_cell_length_c 4.979
_cell_angle_alpha 90.00
_cell_angle_beta 90.00
_cell_angle_gamma 90.00
_space_group_name_H-M_alt 'P 1'
_space_group_IT_number 1
_space_group_name_Hall 'P 1'
loop_
_atom_site_label
_atom_site_type_symbol
_atom_site_fract_x
_atom_site_fract_y
_atom_site_fract_z
Ba1 Ba 0.000 0.000 0.000
Li1 Li 0.500 0.500 0.500
N1 N 0.000 0.500 0.000
N2 N 0.500 0.000 0.000
F1 F 0.000 0.000 0.500
# - DFT total energy: -12.465 eV per atom
# - SG: P4/mmm (123)
# - Energy relative to the elements, uncorrected: 1.7 eV/f.u.

---

No. 15
# Al2TlCr SCAN PBEsol geometry
data_Al2TlCr
_cell_length_a 3.099
_cell_length_b 3.855
_cell_length_c 5.648
_cell_angle_alpha 90.00
_cell_angle_beta 90.00
_cell_angle_gamma 90.00
_space_group_name_H-M_alt 'P 1'
_space_group_IT_number 1
_space_group_name_Hall 'P 1'
loop_
_atom_site_label
_atom_site_type_symbol
_atom_site_fract_x
_atom_site_fract_y
_atom_site_fract_z
Al1 Al 0.000 0.000 0.000
Al2 Al 0.500 0.500 0.248
Tl1 Tl 0.500 0.500 0.727
Cr1 Cr 0.000 0.000 0.449
# - DFT total energy: -26.370 eV per atom
# - Energy relative to the elements: 74 kJ/mol of formula units
# - SG: Pmm2 (25)
# - ΔE to the lowest computed polymorph: 2 meV/atom

---

No. 16
# AlPtC2Br SCAN PBEsol geometry
data_AlPtC2Br
_cell_length_a 3.875
_cell_length_b 3.875
_cell_length_c 4.995
_cell_angle_alpha 90.00
_cell_angle_beta 90.00
_cell_angle_gamma 90.00
_space_group_name_H-M_alt 'P 1'
_space_group_IT_number 1
_space_group_name_Hall 'P 1'
loop_
_atom_site_label
_atom_site_type_symbol
_atom_site_fract_x
_atom_site_fract_y
_atom_site_fract_z
Al1 Al 0.000 0.000 0.000
Pt1 Pt 0.500 0.500 0.500
C1 C 0.000 0.500 0.000
C2 C 0.500 0.000 0.000
Br1 Br 0.000 0.000 0.500
# - DFT total energy: -21.597 eV per atom
# - SG: P4/mmm (123)
# - Energy relative to the elements, uncorrected: 9.6 eV/f.u.

---

No. 17
# BaMn SCAN PBEsol geometry
data_BaMn
_cell_length_a 7.746
_cell_length_b 7.746
_cell_length_c 7.746
_cell_angle_alpha 90.00
_cell_angle_beta 90.00
_cell_angle_gamma 90.00
_space_group_name_H-M_alt 'P 1'
_space_group_IT_number 1
_space_group_name_Hall 'P 1'
loop_
_atom_site_label
_atom_site_type_symbol
_atom_site_fract_x
_atom_site_fract_y
_atom_site_fract_z
Ba1 Ba 0.125 0.125 0.125
Ba2 Ba 0.125 0.625 0.625
Ba3 Ba 0.375 0.375 0.875
Ba4 Ba 0.375 0.875 0.375
Ba5 Ba 0.625 0.125 0.625
Ba6 Ba 0.625 0.625 0.125
Ba7 Ba 0.875 0.375 0.375
Ba8 Ba 0.875 0.875 0.875
Mn1 Mn 0.125 0.125 0.625
Mn2 Mn 0.125 0.625 0.125
Mn3 Mn 0.375 0.375 0.375
Mn4 Mn 0.375 0.875 0.875
Mn5 Mn 0.625 0.125 0.125
Mn6 Mn 0.625 0.625 0.625
Mn7 Mn 0.875 0.375 0.875
Mn8 Mn 0.875 0.875 0.375
# - DFT total energy: -28.528 eV per atom
# - Energy relative to the elements: 72 kJ/mol of formula units
# - SG: Fd-3m (227)

---

No. 18
# Tl2ReAgI SCAN PBEsol geometry
data_Tl2ReAgI
_cell_length_a 6.162
_cell_length_b 6.162
_cell_length_c 4.906
_cell_angle_alpha 90.00
_cell_angle_beta 90.00
_cell_angle_gamma 90.00
_space_group_name_H-M_alt 'P 1'
_space_group_IT_number 1
_space_group_name_Hall 'P 1'
loop_
_atom_site_label
_atom_site_type_symbol
_atom_site_fract_x
_atom_site_fract_y
_atom_site_fract_z
Tl1 Tl 0.000 0.500 0.000
Tl2 Tl 0.500 0.000 0.000
Re1 Re 0.000 0.000 0.500
Ag1 Ag 0.500 0.500 0.500
I1 I 0.000 0.000 0.000
# - DFT total energy: -55.084 eV per atom
# - SG: P4/mmm (123)
# - Energy relative to the elements, uncorrected: 8.5 eV/f.u.

---

No. 19
# HfPtI2O SCAN PBEsol geometry
data_HfPtI2O
_cell_length_a 5.561
_cell_length_b 5.561
_cell_length_c 3.721
_cell_angle_alpha 90.00
_cell_angle_beta 90.00
_cell_angle_gamma 90.00
_space_group_name_H-M_alt 'P 1'
_space_group_IT_number 1
_space_group_name_Hall 'P 1'
loop_
_atom_site_label
_atom_site_type_symbol
_atom_site_fract_x
_atom_site_fract_y
_atom_site_fract_z
Hf1 Hf 0.000 0.000 0.000
Pt1 Pt 0.500 0.500 0.500
I1 I 0.000 0.500 0.500
I2 I 0.500 0.000 0.500
O1 O 0.500 0.500 0.000
# - DFT total energy: -42.206 eV per atom
# - SG: P4/mmm (123)
# - Energy relative to the elements, uncorrected: 1.6 eV/f.u.

---

No. 20
# KRb2FeF6 SCAN PBEsol geometry
data_KRb2FeF6
_cell_length_a 6.131
_cell_length_b 6.131
_cell_length_c 6.131
_cell_angle_alpha 60.00
_cell_angle_beta 60.00
_cell_angle_gamma 60.00
_space_group_name_H-M_alt 'P 1'
_space_group_IT_number 1
_space_group_name_Hall 'P 1'
loop_
_atom_site_label
_atom_site_type_symbol
_atom_site_fract_x
_atom_site_fract_y
_atom_site_fract_z
K1 K 0.000 0.000 0.000
Rb1 Rb 0.250 0.250 0.250
Rb2 Rb 0.750 0.750 0.750
Fe1 Fe 0.500 0.500 0.500
F1 F 0.286 0.286 0.714
F2 F 0.286 0.714 0.286
F3 F 0.286 0.714 0.714
F4 F 0.714 0.286 0.286
F5 F 0.714 0.286 0.714
F6 F 0.714 0.714 0.286
# - DFT total energy: -11.674 eV per atom
# - SG: Fm-3m (225)
# - Energy relative to the elements, uncorrected: -27.6 eV/f.u.